BeIn2Hg | GGA-PBE | optimized geometry

As for the formation energy: 334 meV/atom. The calculation puts the total magnetization at 0.000 μB per formula unit. Its space group is Pmmm, No. 47. The energy is -2.042 eV per atom.

Lattice parameters (Å, degrees): 3.2857 2.9828 9.1454 90.00 90.00 90.00
With the nearest neighbours (Å) after each atom.
Fractional positions:
Hg: 0.5000 0.5000 0.7500  4 Hg 2.98-3.29
In: 0.0000 0.0000 0.4408  4 Be 2.82, 2 In 2.98
In: 0.0000 0.0000 0.0592  4 Be 2.82, 2 In 2.98
Be: 0.5000 0.5000 0.2500  8 In 2.82, 2 Be 2.98

MnInRu2Pt | GGA-PBE | optimized geometry

As for the formation energy: 1233 meV/atom. The calculation puts the total magnetization at 5.560 μB per formula unit. Its space group is P4/mmm, No. 123. The energy is -6.068 eV per atom.

Lattice parameters (Å, degrees): 4.7977 4.7586 4.7977 90.00 90.00 90.00
With the nearest neighbours (Å) after each atom.
Fractional positions:
In: 0.5000 0.5000 0.5000  8 Ru 3.38, 4 Mn 3.39
Ru: 0.0000 0.0000 0.5000  2 Pt 2.40
Ru: 0.5000 0.0000 0.0000  2 Pt 2.40
Pt: 0.0000 0.0000 0.0000  2 Mn 2.38, 4 Ru 2.40
Mn: 0.0000 0.5000 0.0000  2 Pt 2.38

Na2CoCl5 | GGA-PBE | optimized geometry

The calculation puts the total magnetization at 2.000 μB per formula unit. Its space group is P1, No. 1. Its formation energy from raw total energies is -1118 meV per atom. The energy is -3.490 eV per atom.

Lattice parameters (Å, degrees): 6.6101 7.1629 7.1623 81.41 62.72 62.53
With the nearest neighbours (Å) after each atom.
Fractional positions:
Cl: 0.0672 0.7832 0.7836  1 Co 2.26
Na: 0.7387 0.0653 0.6178  5 Cl 2.76-2.80
Cl: 0.9169 0.2480 0.2484  1 Co 2.26
Na: 0.7395 0.6179 0.0646  5 Cl 2.76-2.80
Cl: 0.7913 0.8647 0.2843  1 Co 2.23
Cl: 0.7889 0.2848 0.8659  1 Co 2.23
Co: 0.9913 0.0160 0.0163  5 Cl 2.23-2.26
Cl: 0.4122 0.8971 0.8962  1 Co 2.25

KIF2 | GGA-PBE | optimized geometry

The calculation puts the total magnetization at 2.000 μB per formula unit. Its space group is Fm-3m, No. 225. Its formation energy from raw total energies is -1234 meV per atom. The energy is -2.831 eV per atom.

Lattice parameters (Å, degrees): 4.8999 4.8999 4.8999 60.00 60.00 60.00
With the nearest neighbours (Å) after each atom.
Fractional positions:
I: 0.5000 0.5000 0.5000  8 F 3.00
F: 0.7500 0.7500 0.7500  4 K 3.00, 4 I 3.00
K: 0.0000 0.0000 0.0000  8 F 3.00
F: 0.2500 0.2500 0.2500  4 I 3.00, 4 K 3.00

BaAc4Tl5 | GGA-PBE | optimized geometry

As for the formation energy: -363 meV/atom. The calculation puts the total magnetization at 0.000 μB per formula unit. Its space group is P4/mmm, No. 123. The energy is -3.381 eV per atom.

Lattice parameters (Å, degrees): 4.1555 4.1555 20.9930 90.00 90.00 90.00
With the nearest neighbours (Å) after each atom.
Fractional positions:
Ac: 0.0000 0.0000 0.5976  8 Tl 3.58
Ac: 0.0000 0.0000 0.7947  8 Tl 3.54-3.61
Tl: 0.5000 0.5000 0.8887  4 Ac 3.54, 4 Ba 3.75
Ba: 0.0000 0.0000 0.0000  8 Tl 3.75, 4 Ba 4.16
Tl: 0.5000 0.5000 0.3054  8 Ac 3.58-3.61
Tl: 0.5000 0.5000 0.1113  4 Ac 3.54, 4 Ba 3.75
Tl: 0.5000 0.5000 0.6946  8 Ac 3.58-3.61
Ac: 0.0000 0.0000 0.2053  8 Tl 3.54-3.61
Ac: 0.0000 0.0000 0.4024  8 Tl 3.58
Tl: 0.5000 0.5000 0.5000  8 Ac 3.58

Tb3SmY | GGA-PBE | optimized geometry

As for the formation energy: 14 meV/atom. The calculation puts the total magnetization at 0.000 μB per formula unit. Its space group is P2_1/m, No. 11. The energy is -5.001 eV per atom.

Lattice parameters (Å, degrees): 9.6539 5.6979 6.3261 90.00 109.13 90.00
With the nearest neighbours (Å) after each atom.
Fractional positions:
Sm: 0.7999 0.9500 0.5658  10 Tb 3.54-3.66, 2 Y 3.65-3.66
Tb: 0.8005 0.4500 0.2336  3 Sm 3.54-3.64, 3 Y 3.55-3.65, 6 Tb 3.55-3.66
Tb: 0.1995 0.9500 0.7664  3 Sm 3.54-3.64, 3 Y 3.55-3.65, 6 Tb 3.55-3.66
Tb: 0.5995 0.4499 0.6318  5 Tb 3.53-3.66, 3 Sm 3.54-3.64, 4 Y 3.55-3.66
Tb: 0.4005 0.9499 0.3682  5 Tb 3.53-3.66, 3 Sm 3.54-3.64, 4 Y 3.55-3.66
Tb: 0.0008 0.9501 0.1647  7 Tb 3.53-3.66, 4 Sm 3.55-3.66, 1 Y 3.66
Tb: 0.9992 0.4501 0.8353  7 Tb 3.53-3.66, 4 Sm 3.55-3.66, 1 Y 3.66
Y: 0.4001 0.4500 0.0335  2 Y 3.54, 8 Tb 3.55-3.66, 2 Sm 3.65-3.66
Y: 0.5999 0.9500 0.9665  2 Y 3.54, 8 Tb 3.55-3.66, 2 Sm 3.65-3.66
Sm: 0.2001 0.4500 0.4342  10 Tb 3.54-3.66, 2 Y 3.65-3.66

Er5ScIn6 | GGA-PBE | optimized geometry

As for the formation energy: -432 meV/atom. The calculation puts the total magnetization at 0.000 μB per formula unit. Its space group is C2/m, No. 12. The energy is -4.230 eV per atom.

Lattice parameters (Å, degrees): 5.2460 9.0887 9.0887 120.33 106.80 106.80
With the nearest neighbours (Å) after each atom.
Fractional positions:
In: 0.7558 0.9193 0.5925  1 Sc 3.14, 7 Er 3.18-3.25
In: 0.2620 0.7618 0.7618  2 Sc 3.15-3.16, 6 Er 3.21-3.26, 1 In 3.51
Sc: 0.0000 0.0000 0.0000  8 In 3.14-3.16
In: 0.7558 0.5925 0.9193  1 Sc 3.14, 7 Er 3.18-3.25
Er: 0.5000 0.5000 0.5000  8 In 3.19-3.26
In: 0.2442 0.0807 0.4075  1 Sc 3.14, 7 Er 3.18-3.25
Er: 0.0000 0.6651 0.3349  8 In 3.23-3.25
In: 0.2442 0.4075 0.0807  1 Sc 3.14, 7 Er 3.18-3.25
In: 0.7380 0.2382 0.2382  2 Sc 3.15-3.16, 6 Er 3.21-3.26, 1 In 3.51
Er: 0.0000 0.3349 0.6651  8 In 3.23-3.25
Er: 0.5000 0.1702 0.8298  8 In 3.18-3.23
Er: 0.5000 0.8298 0.1702  8 In 3.18-3.23

Ho2AlFe3 | GGA-PBE | optimized geometry

As for the formation energy: -194 meV/atom. The calculation puts the total magnetization at 4.089 μB per formula unit. Its space group is R-3m, No. 166. The energy is -6.575 eV per atom.

Lattice parameters (Å, degrees): 5.1982 5.1887 5.1982 90.00 60.00 120.06
With the nearest neighbours (Å) after each atom.
Fractional positions:
Ho: 0.7446 0.3669 0.3777  9 Fe 3.03-3.07, 3 Al 3.05, 4 Ho 3.11-3.21
Fe: 0.5000 0.0000 0.0000  2 Al 2.59, 4 Fe 2.60
Fe: 0.0000 0.0000 0.0000  2 Al 2.59, 4 Fe 2.60
Al: 0.5000 0.5000 0.0000  6 Fe 2.59
Fe: 0.0000 0.0000 0.5000  2 Al 2.59, 4 Fe 2.60
Ho: 0.2554 0.6331 0.6223  9 Fe 3.03-3.07, 3 Al 3.05, 4 Ho 3.11-3.21